{
  "formula": "Co3OF5",
  "functional": "GGA+U",
  "state": "relaxed",
  "de_polymorph_mev_per_atom": 6,
  "space_group": "No. 4",
  "dft_energy_ha_per_atom": -0.189,
  "rho_g_cm3": 4.5,
  "magmom_total_mub_per_fu": 10.0,
  "cell": [[5.677, 0.000, 0.000], [0.000, 4.719, 0.000], [-0.371, 0.000, 7.879]],
  "species": ["Co", "Co", "Co", "Co", "Co", "Co", "O", "O", "F", "F", "F", "F", "F", "F", "F", "F", "F", "F"],
  "fractional_positions": [[0.072, 0.000, 0.331], [0.254, 0.508, 0.989], [0.404, 0.955, 0.671], [0.596, 0.455, 0.329], [0.746, 0.008, 0.011], [0.928, 0.500, 0.669], [0.216, 0.693, 0.765], [0.784, 0.193, 0.235], [0.045, 0.792, 0.102], [0.126, 0.184, 0.563], [0.286, 0.295, 0.227], [0.387, 0.777, 0.429], [0.453, 0.188, 0.896], [0.547, 0.688, 0.104], [0.613, 0.277, 0.571], [0.714, 0.795, 0.773], [0.874, 0.684, 0.437], [0.955, 0.292, 0.898]]
}